Record 1
DFT (PBE-GGA) results for an optimized crystal structure of Sm5Hf3As8.

Values from the calculation:
- ΔH_f (0 K): -1309 meV per atom
- Mass density: 8.284 g/cm³

Unit cell a=8.0989 b=8.0989 c=19.9724 alpha=90.00 beta=90.00 gamma=120.00
Space group R-3m (No. 166, hexagonal axes)
One atom of each set of equivalent atoms:
Sm  0.0000  0.0000  0.0000 x3
Sm  0.0000  0.0000  0.5000 x3
Sm  0.0000  0.5000  0.0000 x9
Hf  0.0000  0.5000  0.5000 x9
As  0.0000  0.0000  0.2419 x6
As  0.0115  0.5058  0.7557 x18

Record 2
DFT (PBE-GGA) results for an optimized crystal structure of Co2RhBr.

Values from the calculation:
- Energy relative to the lowest polymorph listed for this composition: 247 meV per atom
- Mass density: 8.663 g/cm³

Unit cell a=2.9617 b=4.4274 c=8.7911 alpha=90.00 beta=90.00 gamma=90.00
Space group Imm2 (No. 44)
One atom of each set of equivalent atoms:
Co  0.0000  0.0000  0.0000 x2
Co  0.0000  0.5000  0.2741 x2
Rh  0.0000  0.5000  0.7789 x2
Br  0.0000  0.0000  0.5370 x2

Record 3
DFT (PBE-GGA) results for an optimized crystal structure of ZrCr2Cl.

Values from the calculation:
- Energy relative to the lowest polymorph listed for this composition: 622 meV per atom
- Mass density: 6.193 g/cm³

Unit cell a=3.4933 b=3.4933 c=5.0684 alpha=90.00 beta=90.00 gamma=90.00
Space group P4/mmm (No. 123)
One atom of each set of equivalent atoms:
Zr  0.0000  0.0000  0.0000 x1
Cr  0.0000  0.5000  0.5000 x2
Cl  0.5000  0.5000  0.0000 x1

Record 4
DFT (PBE-GGA) results for an optimized crystal structure of DyZrAu2.

Values from the calculation:
- ΔH_f (0 K): -594 meV per atom
- Energy relative to the lowest polymorph listed for this composition: 34 meV per atom
- Mass density: 12.359 g/cm³

Unit cell a=7.0344 b=7.0344 c=7.0344 alpha=90.00 beta=90.00 gamma=90.00
Space group Fm-3m (No. 225)
One atom of each set of equivalent atoms:
Dy  0.0000  0.0000  0.0000 x4
Zr  0.0000  0.0000  0.5000 x4
Au  0.2500  0.2500  0.2500 x8

Record 5
DFT (PBE-GGA) results for an optimized crystal structure of MnAsCl2.

Values from the calculation:
- Energy relative to the lowest polymorph listed for this composition: 0 meV per atom
- Mass density: 3.180 g/cm³

Unit cell a=3.5708 b=3.5708 c=8.2217 alpha=90.00 beta=90.00 gamma=90.00
Space group P4mm (No. 99)
One atom of each set of equivalent atoms:
Mn  0.0000  0.0000  0.0000 x1
As  0.5000  0.5000  0.9157 x1
Cl  0.0000  0.0000  0.2632 x1
Cl  0.5000  0.5000  0.6496 x1

Record 6
DFT (PBE-GGA) results for an optimized crystal structure of MnCuTe2.

Values from the calculation:
- VASP energy: -4.59 eV per atom
- Mass density: 7.627 g/cm³

Unit cell a=3.5518 b=3.5518 c=6.4494 alpha=90.00 beta=90.00 gamma=90.00
Space group P4/mmm (No. 123)
One atom of each set of equivalent atoms:
Mn  0.0000  0.0000  0.0000 x1
Cu  0.0000  0.0000  0.5000 x1
Te  0.5000  0.5000  0.2449 x2

Number 1: calculated volume 23.64 Å³ per atom. Number 2: calculated volume 14.41 Å³ per atom. Number 3: calculated volume 15.46 Å³ per atom. Number 4: calculated volume 21.76 Å³ per atom. Number 5: calculated volume 26.21 Å³ per atom. Number 6: calculated volume 20.34 Å³ per atom.